# Ac3Ga5Ge2 | the Alexandria database | PBE | optimized geometry
data_Ac3Ga5Ge2
_chemical_formula_sum 'Ac12 Ga20 Ge8'
_symmetry_space_group_name_H-M 'I b a m'
_symmetry_Int_Tables_number 72
_symmetry_space_group_name_Hall '-I 2 2c'
_cell_length_a 11.873
_cell_length_b 13.086
_cell_length_c 6.654
_cell_angle_alpha 90.00
_cell_angle_beta 90.00
_cell_angle_gamma 90.00
loop_
_atom_site_label
_atom_site_type_symbol
_atom_site_fract_x
_atom_site_fract_y
_atom_site_fract_z
Ac1 Ac 0.000 0.000 0.250
Ac2 Ac 0.223 0.373 0.000
Ga1 Ga 0.000 0.241 0.250
Ga2 Ga 0.000 0.500 0.250
Ga3 Ga 0.104 0.371 0.500
Ge1 Ge 0.184 0.123 0.000
# uncorrected energy	-161.7	eV/cell
# formation enthalpy at 0 K	-3.73	eV/f.u.
# total magnetic moment	0.0	μB/cell

# Tb3As2Rh7 | the Alexandria database | PBE | optimized geometry
data_Tb3As2Rh7
_chemical_formula_sum 'Tb6 As4 Rh14'
_symmetry_space_group_name_H-M 'C m m m'
_symmetry_Int_Tables_number 65
_symmetry_space_group_name_Hall '-C 2 2'
_cell_length_a 4.117
_cell_length_b 27.790
_cell_length_c 4.010
_cell_angle_alpha 90.00
_cell_angle_beta 90.00
_cell_angle_gamma 90.00
loop_
_atom_site_label
_atom_site_type_symbol
_atom_site_fract_x
_atom_site_fract_y
_atom_site_fract_z
Tb1 Tb 0.000 0.000 0.000
Tb2 Tb 0.000 0.202 0.000
As1 As 0.000 0.415 0.500
Rh1 Rh 0.000 0.130 0.500
Rh2 Rh 0.000 0.290 0.500
Rh3 Rh 0.000 0.368 0.000
Rh4 Rh 0.000 0.500 0.500
# uncorrected energy	-163.9	eV/cell
# formation enthalpy at 0 K	-7.32	eV/f.u.
# total magnetic moment	0.0	μB/cell

# LaHoAl2Au4 | the Alexandria database | PBE | optimized geometry
data_LaHoAl2Au4
_chemical_formula_sum 'La3 Ho3 Al6 Au12'
_symmetry_space_group_name_H-M 'R -3 m'
_symmetry_Int_Tables_number 166
_symmetry_space_group_name_Hall '-R 3 2"'
_cell_length_a 4.5845
_cell_length_b 4.5845
_cell_length_c 28.2798
_cell_angle_alpha 90.00
_cell_angle_beta 90.00
_cell_angle_gamma 120.00
loop_
_atom_site_label
_atom_site_type_symbol
_atom_site_fract_x
_atom_site_fract_y
_atom_site_fract_z
La1 La 0.0000 0.0000 0.0000
Ho1 Ho 0.0000 0.0000 0.5000
Al1 Al 0.0000 0.0000 0.2419
Au1 Au 0.0000 0.0000 0.1161
Au2 Au 0.0000 0.0000 0.3946
# uncorrected energy	-107.3	eV/cell
# formation enthalpy at 0 K	-5.68	eV/f.u.
# total magnetic moment	0.0	μB/cell

Q: Which formula does entry 3 have?
A: LaHoAl2Au4

What did the third record say?
# LaHoAl2Au4 | the Alexandria database | PBE | optimized geometry
data_LaHoAl2Au4
_chemical_formula_sum 'La3 Ho3 Al6 Au12'
_symmetry_space_group_name_H-M 'R -3 m'
_symmetry_Int_Tables_number 166
_symmetry_space_group_name_Hall '-R 3 2"'
_cell_length_a 4.5845
_cell_length_b 4.5845
_cell_length_c 28.2798
_cell_angle_alpha 90.00
_cell_angle_beta 90.00
_cell_angle_gamma 120.00
loop_
_atom_site_label
_atom_site_type_symbol
_atom_site_fract_x
_atom_site_fract_y
_atom_site_fract_z
La1 La 0.0000 0.0000 0.0000
Ho1 Ho 0.0000 0.0000 0.5000
Al1 Al 0.0000 0.0000 0.2419
Au1 Au 0.0000 0.0000 0.1161
Au2 Au 0.0000 0.0000 0.3946
# uncorrected energy	-107.3	eV/cell
# formation enthalpy at 0 K	-5.68	eV/f.u.
# total magnetic moment	0.0	μB/cell

Q: The lowest formation enthalpy at 0 K belongs to which entry?
A: Tb3As2Rh7